Li4LaPb5: relaxed, GGA-PBE. Values from VASP.

```
&SYSTEM
  ibrav = 0, nat = 10, ntyp = 3
/
ATOMIC_SPECIES
Li 6.94 Li.upf
La 138.91 La.upf
Pb 207.20 Pb.upf
CELL_PARAMETERS angstrom
3.617 0.000 0.000
0.000 3.617 0.000
0.000 0.000 18.721
ATOMIC_POSITIONS crystal
Li 0.000 0.000 0.092
Li 0.000 0.000 0.281
Li 0.000 0.000 0.719
Li 0.000 0.000 0.908
La 0.000 0.000 0.500
Pb 0.500 0.500 0.000
Pb 0.500 0.500 0.187
Pb 0.500 0.500 0.373
Pb 0.500 0.500 0.627
Pb 0.500 0.500 0.813
```

## Properties
spin magnetization: 0.0 μB/cell
V: 24.5 Å³/atom
DOS at the Fermi energy: 5.15 states/eV per cell
DFT formation energy: -0.322 eV per atom
mass density: 8.2 g/cm³